The following is a GGA-PBE calculation of an optimized crystal structure of Ce2SmPdS5, from Alexandria via LeMat-Bulk.

Geometry as POSCAR:
```
Ce2SmPdS5
1.0
-3.8683 -0.3784 -0.2862
2.9391 -5.9457 -5.3296
0.1173 -7.9903 8.9786
Ce Sm Pd S
4 2 2 10
direct
0.8892 0.7783 0.8519
0.1192 0.2384 0.6964
0.1108 0.2217 0.3519
0.8808 0.7616 0.1964
0.8254 0.6507 0.5268
0.1746 0.3493 0.0268
0.5506 0.1013 0.9189
0.4494 0.8987 0.4189
0.3423 0.6845 0.0220
0.6907 0.3814 0.8550
0.4944 0.9887 0.7394
0.3042 0.6084 0.6934
0.9951 0.9902 0.5201
0.6577 0.3155 0.5220
0.3093 0.6186 0.3550
0.5056 0.0113 0.2394
0.6958 0.3916 0.1934
0.0049 0.0098 0.0201
```

Properties
- space-group type = No. 36
- final energy (eV per formula unit) = -57.75
- total moment (μB/atom) = 0.1233
- formation energy (no corrections) (meV/atom) = -1703